# 1
Entry from Alexandria via LeMat-Bulk: a geometry-optimized Tb4Te2PS structure (PBE).

a b c (Å): 7.1026 4.1109 7.4526
angles (deg): 90.00 108.60 90.00
Element x y z (fractional)
Tb 0.2326 0.0000 0.2077
Tb 0.2615 0.5000 0.7933
Tb 0.7385 0.5000 0.2067
Tb 0.7674 0.0000 0.7923
Te 0.0000 0.0000 0.5000
Te 0.5000 0.5000 0.5000
P 0.0000 0.5000 0.0000
S 0.5000 0.0000 0.0000

Computed properties:
Formation energy without anion corrections, meV per atom: -1635.5
N(E_F), states/eV per atom: 0.30

# 2
Entry from Alexandria via LeMat-Bulk: a geometry-optimized Tb6Te3PS2 structure (PBE).

a b c (Å): 7.1047 7.1047 7.4303
angles (deg): 99.19 99.19 119.99
Element x y z (fractional)
Tb 0.0685 0.3986 0.2055
Tb 0.2613 0.2613 0.7946
Tb 0.3986 0.0685 0.2055
Tb 0.6014 0.9315 0.7945
Tb 0.7387 0.7387 0.2054
Tb 0.9315 0.6014 0.7945
Te 0.1671 0.8329 0.5000
Te 0.5000 0.5000 0.5000
Te 0.8329 0.1671 0.5000
P 0.0000 0.0000 0.0000
S 0.3334 0.6666 0.0000
S 0.6666 0.3334 0.0000

Computed properties:
Formation energy without anion corrections, meV per atom: -1654.3
N(E_F), states/eV per atom: 0.31

# 3
Entry from Alexandria via LeMat-Bulk: a geometry-optimized Tb8Te3P3S structure (PBE).

a b c (Å): 8.4544 8.4544 8.4544
angles (deg): 57.69 57.69 57.69
Element x y z (fractional)
Tb 0.2332 0.7404 0.7404
Tb 0.2360 0.2360 0.2360
Tb 0.2596 0.2596 0.7668
Tb 0.2596 0.7668 0.2596
Tb 0.7404 0.2332 0.7404
Tb 0.7404 0.7404 0.2332
Tb 0.7640 0.7640 0.7640
Tb 0.7668 0.2596 0.2596
Te 0.0000 0.5000 0.5000
Te 0.5000 0.0000 0.5000
Te 0.5000 0.5000 0.0000
P 0.0000 0.0000 0.5000
P 0.0000 0.5000 0.0000
P 0.5000 0.0000 0.0000
S 0.5000 0.5000 0.5000

Computed properties:
Formation energy without anion corrections, meV per atom: -1474.9
N(E_F), states/eV per atom: 0.37

# 4
Entry from Alexandria via LeMat-Bulk: a geometry-optimized Tb6Te3P2S structure (PBE).

a b c (Å): 9.4609 9.4609 8.5105
angles (deg): 105.69 105.69 25.15
Element x y z (fractional)
Tb 0.0103 0.0103 0.2281
Tb 0.3241 0.3241 0.4396
Tb 0.3409 0.3409 0.8921
Tb 0.6591 0.6591 0.1079
Tb 0.6759 0.6759 0.5604
Tb 0.9897 0.9897 0.7719
Te 0.1657 0.1657 0.8334
Te 0.5000 0.5000 0.5000
Te 0.8343 0.8343 0.1666
P 0.1664 0.1664 0.3324
P 0.8336 0.8336 0.6676
S 0.5000 0.5000 0.0000

Computed properties:
Formation energy without anion corrections, meV per atom: -1611.1
N(E_F), states/eV per atom: 0.39